# Tl2PW, optimized geometry, DFT PBE-GGA
data_Tl2PW
_chemical_formula_sum 'Tl8 P4 W4'
_cell_length_a 7.008
_cell_length_b 7.008
_cell_length_c 7.008
_cell_angle_alpha 90.00
_cell_angle_beta 90.00
_cell_angle_gamma 90.00
_space_group_name_H-M_alt 'F m -3 m'
_space_group_IT_number 225
_space_group_name_Hall '-F 4 2 3'
loop_
_atom_site_label
_atom_site_type_symbol
_atom_site_fract_x
_atom_site_fract_y
_atom_site_fract_z
_atom_site_occupancy
Tl1 Tl 0.250 0.250 0.250 1
P1 P 0.000 0.000 0.000 1
W1 W 0.000 0.000 0.500 1
# **DFT total energy**: -4.4067 eV per atom
# **E above lowest polymorph**: 1151.7 meV/atom
# **Energy relative to the elements**: 5.47 eV per formula unit